A plane-wave DFT calculation with GGA-PBE was carried out for crystalline Cr2CdSe at its relaxed geometry.

The structure in POSCAR format:
```
Cr2CdSe
1.0
6.1237 -0.0711 -0.5092
5.2614 3.1340 -0.5092
1.7969 0.4834 3.8191
Cd Se Cr
1 1 2
direct
0.7819 0.7819 0.7182
0.5354 0.5354 0.4645
0.9745 0.9745 0.0255
0.2083 0.2083 0.2919
```

## Properties
* excess energy over the best structure of this formula in the dataset: 162 meV/atom
* total energy: -22.33 eV/cell
* SG: Imm2 (44)

---

A plane-wave DFT calculation with GGA-PBE was carried out for crystalline HfCl3O at its relaxed geometry.

The structure in POSCAR format:
```
HfCl3O
1.0
4.9209 0.0000 0.0000
0.0000 4.9209 0.0000
0.0000 0.0000 4.9209
Cl Hf O
3 1 1
direct
0.5000 0.0000 0.0000
0.0000 0.5000 0.0000
0.0000 0.0000 0.5000
0.0000 0.0000 0.0000
0.5000 0.5000 0.5000
```

## Properties
* total energy: -23.97 eV/cell
* SG: Pm-3m (221)

---

A plane-wave DFT calculation with GGA-PBE was carried out for crystalline AcYCoAg at its relaxed geometry.

The structure in POSCAR format:
```
AcYCoAg
1.0
5.1985 0.0000 0.0000
2.5993 4.5020 0.0000
2.5993 1.5007 4.2446
Ag Ac Y Co
1 1 1 1
direct
0.0000 0.0000 0.0000
0.7500 0.7500 0.7500
0.2500 0.2500 0.2500
0.5000 0.5000 0.5000
```

## Properties
* total energy: -20.60 eV/cell
* energy relative to the elements: -17 meV/atom
* SG: F-43m (216)

---

A plane-wave DFT calculation with GGA-PBE was carried out for crystalline LiCaNdZn at its relaxed geometry.

The structure in POSCAR format:
```
LiCaNdZn
1.0
5.2868 0.0000 0.0000
2.6434 4.5785 0.0000
2.6434 1.5262 4.3167
Nd Li Ca Zn
1 1 1 1
direct
0.7500 0.7500 0.7500
0.5000 0.5000 0.5000
0.2500 0.2500 0.2500
0.0000 0.0000 0.0000
```

## Properties
* excess energy over the best structure of this formula in the dataset: 2 meV/atom
* total energy: -10.42 eV/cell
* energy relative to the elements: -116 meV/atom
* SG: F-43m (216)

---

A plane-wave DFT calculation with GGA-PBE was carried out for crystalline Be2InHg at its relaxed geometry.

The structure in POSCAR format:
```
Be2InHg
1.0
-7.1038 -1.3107 3.9987
-5.1865 -3.3045 5.5092
-5.2765 -0.2670 6.3449
Be In Hg
2 1 1
direct
0.9859 0.9859 0.9859
0.2600 0.2600 0.2600
0.7385 0.7385 0.7385
0.5156 0.5156 0.5156
```

## Properties
* excess energy over the best structure of this formula in the dataset: 154 meV/atom
* total energy: -8.35 eV/cell
* energy relative to the elements: 536 meV/atom
* SG: R3m (160)

---

A plane-wave DFT calculation with GGA-PBE was carried out for crystalline CrAgW2 at its relaxed geometry.

The structure in POSCAR format:
```
CrAgW2
1.0
-3.9211 -0.6612 -3.3894
-0.2349 -2.6902 4.4730
-1.8438 1.4484 1.2382
W Ag Cr
2 1 1
direct
0.5000 0.5000 0.0000
0.0000 0.0000 0.0000
0.5000 0.0000 0.5000
0.0000 0.5000 0.5000
```

## Properties
* excess energy over the best structure of this formula in the dataset: 186 meV/atom
* total energy: -36.10 eV/cell
* energy relative to the elements: 571 meV/atom
* SG: C2/m (12)

---

A plane-wave DFT calculation with GGA-PBE was carried out for crystalline Hf5P2H2 at its relaxed geometry.

The structure in POSCAR format:
```
Hf5P2H2
1.0
5.7448 0.0000 0.0000
0.0000 6.7343 0.0000
-2.8724 -3.3672 7.5906
Hf P H
10 4 4
direct
0.4231 0.5166 0.2811
0.0860 0.7288 0.5000
0.5769 0.2355 0.7189
0.9140 0.2288 0.5000
0.6420 0.7355 0.7189
0.8616 0.2505 0.1607
0.1384 0.0898 0.8393
0.3580 0.0166 0.2811
0.7991 0.7505 0.1607
0.2009 0.5898 0.8393
0.6942 0.8947 0.5000
0.5000 0.3958 0.0000
0.0000 0.8958 0.0000
0.3058 0.3947 0.5000
0.6202 0.2600 0.2956
0.8246 0.4644 0.7044
0.3798 0.9644 0.7044
0.1754 0.7600 0.2956
```

## Properties
* total energy: -145.44 eV/cell
* SG: Ima2 (46)

---

A plane-wave DFT calculation with GGA-PBE was carried out for crystalline KHgAs2Br at its relaxed geometry.

The structure in POSCAR format:
```
KHgAs2Br
1.0
5.2157 0.0000 0.0000
0.0000 5.2157 0.0000
0.0000 0.0000 6.6113
As Br K Hg
2 1 1 1
direct
0.5000 0.0000 0.0000
0.0000 0.5000 0.0000
0.0000 0.0000 0.5000
0.5000 0.5000 0.5000
0.0000 0.0000 0.0000
```

## Properties
* excess energy over the best structure of this formula in the dataset: 0 meV/atom
* total energy: -11.89 eV/cell
* SG: P4/mmm (123)